[1]
First-principles (PBE) data for a relaxed structure of CsLiErCl6, as listed in Alexandria.

## Properties
Formation energy from raw total energies, eV/atom: -1.781
V, Å³/atom: 33.38

abc: 7.0965 7.1082 7.7386
angles: 93.51 86.83 50.97
With the nearest neighbours (Å) after each atom.
Fractional coordinates of all 9 atoms:
Cs 0.9900 0.9975 0.9952  6 Cl 3.57-3.61
Er 0.6521 0.6535 0.4976  6 Cl 2.59-2.67
Cl 0.3850 0.0474 0.7272  1 Er 2.63, 1 Li 2.88
Cl 0.3914 0.6116 0.3030  1 Li 2.49, 1 Er 2.59
Cl 0.5958 0.4034 0.6928  1 Li 2.48, 1 Er 2.60
Cl 0.0518 0.3677 0.2812  1 Er 2.60, 1 Li 2.78
Cl 0.9597 0.5975 0.7141  1 Li 2.62, 1 Er 2.67
Cl 0.6164 0.9592 0.2946  1 Li 2.55, 1 Er 2.65
Li 0.3576 0.3623 0.4942  4 Cl 2.48-2.62

---

[2]
First-principles (PBE) data for a relaxed structure of TaHg2I2, as listed in Alexandria.

## Properties
Formation energy from raw total energies, eV/atom: 0.901
V, Å³/atom: 33.51

abc: 6.3476 6.3476 6.1184
angles: 58.75 58.75 90.00
With the nearest neighbours (Å) after each atom.
Fractional coordinates of all 5 atoms:
Hg 0.6622 0.6622 0.6757  1 Hg 2.70, 1 Ta 2.81
Hg 0.3378 0.3378 0.3243  1 Hg 2.70, 1 Ta 2.81
I 0.2500 0.7500 0.5000  4 Hg 3.26
I 0.7500 0.2500 0.5000  4 Hg 3.26
Ta 0.0000 0.0000 0.0000  2 Hg 2.81

---

[3]
First-principles (PBE) data for a relaxed structure of DyTh2Pt9, as listed in Alexandria.

## Properties
V, Å³/atom: 19.27
Formation enthalpy at 0 K, eV/atom: -0.9463

abc: 5.4408 5.4408 9.5498
angles: 73.45 73.45 60.00
With the nearest neighbours (Å) after each atom.
Fractional coordinates of all 12 atoms:
Pt 0.3330 0.3330 0.0009  6 Pt 2.76-2.80
Pt 0.9194 0.4132 0.2541  7 Pt 2.69-2.80
Pt 0.0806 0.5868 0.7459  7 Pt 2.69-2.80
Pt 0.6670 0.6670 0.9991  6 Pt 2.76-2.80
Pt 0.5868 0.5868 0.7459  7 Pt 2.69-2.80
Pt 0.5000 0.5000 0.5000  6 Pt 2.73
Pt 0.4132 0.9194 0.2541  7 Pt 2.69-2.80
Pt 0.4132 0.4132 0.2541  7 Pt 2.69-2.80
Pt 0.5868 0.0806 0.7459  7 Pt 2.69-2.80
Dy 0.0000 0.0000 0.0000  6 Pt 3.14
Th 0.1368 0.1368 0.5897  12 Pt 3.06-3.40
Th 0.8632 0.8632 0.4103  12 Pt 3.06-3.40